#a
Material: GeIr2N
Method: DFT, PBE
State: optimized geometry

The space group is Fm-3m (No. 225) and the conventional cell measures 5.899, 5.899 and 5.899 Å, with angles of 90.00, 90.00 and 90.00 degrees. The asymmetric unit holds Ge at (0.000, 0.000, 0.000), Ir at (0.250, 0.250, 0.250) and N at (0.000, 0.000, 0.500).

The density of states at the Fermi level comes out at 1.210 states/eV/atom.

=====

#b
Material: GeIr2N
Method: DFT, PBE
State: optimized geometry

The space group is I-42d (No. 122) and the conventional cell measures 5.006, 5.006 and 10.316 Å, with angles of 90.00, 90.00 and 90.00 degrees. The asymmetric unit holds Ge at (0.000, 0.000, 0.000), Ir at (0.165, 0.250, 0.625) and N at (0.000, 0.000, 0.500).

The density of states at the Fermi level comes out at 0.356 states/eV/atom.

=====

Relative energies in meV/atom: #a 620; #b 0

=====

#a
Material: GePIrN
Method: DFT, PBE
State: optimized geometry

The space group is Pmm2 (No. 25) and the conventional cell measures 2.920, 3.453 and 5.700 Å, with angles of 90.00, 90.00 and 90.00 degrees. The asymmetric unit holds Ge at (0.000, 0.000, 0.000), P at (0.500, 0.000, 0.500), Ir at (0.000, 0.500, 0.678) and N at (0.500, 0.000, 0.209).

The density of states at the Fermi level comes out at 0.328 states/eV/atom.

=====

#b
Material: GePIrN
Method: DFT, PBE
State: optimized geometry

The space group is Cm (No. 8) and the conventional cell measures 7.010, 3.040 and 6.517 Å, with angles of 90.00, 120.56 and 90.00 degrees. The asymmetric unit holds Ge at (0.000, 0.000, 0.000), P at (0.252, 0.500, 0.562), Ir at (0.471, 0.500, 0.376) and N at (0.173, 0.500, 0.030).

The density of states at the Fermi level comes out at 0.585 states/eV/atom.

=====

#c
Material: GePIrN
Method: DFT, PBE
State: optimized geometry

The space group is Pmm2 (No. 25) and the conventional cell measures 2.782, 3.560 and 5.801 Å, with angles of 90.00, 90.00 and 90.00 degrees. The asymmetric unit holds Ge at (0.000, 0.000, 0.000), P at (0.500, 0.000, 0.515), Ir at (0.500, 0.500, 0.779) and N at (0.000, 0.000, 0.337).

The density of states at the Fermi level comes out at 0.384 states/eV/atom.

=====

Relative energies in meV/atom: #a 96; #b 278; #c 0

=====

#a
Material: GePIrN2
Method: DFT, PBE
State: optimized geometry

The space group is Pm (No. 6) and the conventional cell measures 4.153, 2.843 and 5.405 Å, with angles of 90.00, 108.01 and 90.00 degrees. The asymmetric unit holds Ge at (0.000, 0.000, 0.000), P at (0.666, 0.500, 0.377), Ir at (0.528, 0.500, 0.740), N at (0.337, 0.500, 0.085) and N at (0.882, 0.000, 0.331).

The density of states at the Fermi level comes out at 0.036 states/eV/atom.

=====

#b
Material: GePIrN2
Method: DFT, PBE
State: optimized geometry

The space group is Cm (No. 8) and the conventional cell measures 10.610, 2.783 and 4.166 Å, with angles of 90.00, 112.26 and 90.00 degrees. The asymmetric unit holds Ge at (0.000, 0.000, 0.000), P at (0.194, 0.500, 0.671), Ir at (0.342, 0.000, 0.507), N at (0.035, 0.500, 0.349) and N at (0.176, 0.000, 0.937).

=====

#c
Material: GePIrN2
Method: DFT, PBE
State: optimized geometry

The space group is Cm (No. 8) and the conventional cell measures 9.906, 2.691 and 5.396 Å, with angles of 90.00, 119.13 and 90.00 degrees. The asymmetric unit holds Ge at (0.000, 0.000, 0.000), P at (0.326, 0.500, 0.355), Ir at (0.087, 0.000, 0.538), N at (0.240, 0.000, 0.147) and N at (0.257, 0.500, 0.601).

The density of states at the Fermi level comes out at 0.078 states/eV/atom.

=====

#d
Material: GePIrN2
Method: DFT, PBE
State: optimized geometry

The space group is P1 (No. 1) and the conventional cell measures 2.691, 3.845 and 6.533 Å, with angles of 105.85, 95.74 and 101.17 degrees. The asymmetric unit holds Ge at (0.000, 0.000, 0.000), P at (0.789, 0.478, 0.467), Ir at (0.611, 0.356, 0.793), N at (0.165, 0.236, 0.303) and N at (0.408, 0.774, 0.586).

The density of states at the Fermi level comes out at 0.299 states/eV/atom.

=====

Relative energies in meV/atom: #a 0; #b 78; #c 180; #d 316

=====

#a
Material: GePIrN2
Method: DFT, PBE
State: optimized geometry

The space group is P1 (No. 1) and the conventional cell measures 2.886, 5.057 and 5.256 Å, with angles of 118.33, 91.25 and 104.93 degrees. The asymmetric unit holds Ge at (0.000, 0.000, 0.000), P at (0.357, 0.748, 0.481), Ir at (0.089, 0.154, 0.540), N at (0.332, 0.661, 0.752) and N at (0.785, 0.624, 0.280).

The density of states at the Fermi level comes out at 0.153 states/eV/atom.

=====

#b
Material: GePIrN2
Method: DFT, PBE
State: optimized geometry

The space group is P1 (No. 1) and the conventional cell measures 2.855, 3.874 and 6.051 Å, with angles of 103.44, 95.67 and 96.75 degrees. The asymmetric unit holds Ge at (0.000, 0.000, 0.000), P at (0.609, 0.948, 0.464), Ir at (0.064, 0.396, 0.746), N at (0.084, 0.715, 0.489) and N at (0.551, 0.018, 0.208).

The density of states at the Fermi level comes out at 0.096 states/eV/atom.

=====

Relative energies in meV/atom: #a 270; #b 0

=====

#a
Material: GePIrN2
Method: DFT, PBE
State: optimized geometry

The space group is Cm (No. 8) and the conventional cell measures 8.540, 3.074 and 5.407 Å, with angles of 90.00, 118.07 and 90.00 degrees. The asymmetric unit holds Ge at (0.000, 0.000, 0.000), P at (0.394, 0.000, 0.386), Ir at (0.098, 0.000, 0.655), N at (0.197, 0.000, 0.356) and N at (0.370, 0.000, 0.043).

=====

#b
Material: GePIrN2
Method: DFT, PBE
State: optimized geometry

The space group is Imm2 (No. 44) and the conventional cell measures 3.536, 6.542 and 5.980 Å, with angles of 90.00, 90.00 and 90.00 degrees. The asymmetric unit holds Ge at (0.000, 0.000, 0.000), P at (0.000, 0.000, 0.432), Ir at (0.000, 0.500, 0.219) and N at (0.000, 0.188, 0.241).

The density of states at the Fermi level comes out at 0.250 states/eV/atom.

=====

#c
Material: GePIrN2
Method: DFT, PBE
State: optimized geometry

The space group is P1 (No. 1) and the conventional cell measures 3.619, 4.660 and 4.798 Å, with angles of 104.48, 100.15 and 110.85 degrees. The asymmetric unit holds Ge at (0.000, 0.000, 0.000), P at (0.194, 0.648, 0.392), Ir at (0.518, 0.140, 0.729), N at (0.222, 0.316, 0.406) and N at (0.897, 0.601, 0.070).

=====

#d
Material: GePIrN2
Method: DFT, PBE
State: optimized geometry

The space group is Pm (No. 6) and the conventional cell measures 3.995, 2.736 and 6.740 Å, with angles of 90.00, 98.62 and 90.00 degrees. The asymmetric unit holds Ge at (0.000, 0.000, 0.000), P at (0.821, 0.500, 0.433), Ir at (0.587, 0.500, 0.713), N at (0.093, 0.500, 0.640) and N at (0.824, 0.000, 0.288).

The density of states at the Fermi level comes out at 0.256 states/eV/atom.

=====

Relative energies in meV/atom: #a 0; #b 195; #c 122; #d 496

=====

#a
Material: GePIrN2
Method: DFT, PBE
State: optimized geometry

The space group is P1 (No. 1) and the conventional cell measures 3.916, 4.589 and 4.835 Å, with angles of 71.59, 82.88 and 80.51 degrees. The asymmetric unit holds Ge at (0.000, 0.000, 0.000), P at (0.746, 0.721, 0.772), Ir at (0.275, 0.467, 0.977), N at (0.446, 0.191, 0.345) and N at (0.691, 0.977, 0.394).

The density of states at the Fermi level comes out at 0.107 states/eV/atom.

=====

#b
Material: GePIrN2
Method: DFT, PBE
State: optimized geometry

The space group is Cm (No. 8) and the conventional cell measures 6.561, 2.932 and 6.109 Å, with angles of 90.00, 99.93 and 90.00 degrees. The asymmetric unit holds Ge at (0.000, 0.000, 0.000), P at (0.484, 0.000, 0.525), Ir at (0.253, 0.500, 0.285), N at (0.141, 0.000, 0.726) and N at (0.343, 0.000, 0.765).

The density of states at the Fermi level comes out at 0.148 states/eV/atom.

=====

#c
Material: GePIrN2
Method: DFT, PBE
State: optimized geometry

The space group is P1 (No. 1) and the conventional cell measures 3.388, 3.836 and 5.390 Å, with angles of 101.35, 103.16 and 90.03 degrees. The asymmetric unit holds Ge at (0.000, 0.000, 0.000), P at (0.530, 0.668, 0.383), Ir at (0.460, 0.477, 0.947), N at (0.235, 0.049, 0.391) and N at (0.346, 0.372, 0.541).

The density of states at the Fermi level comes out at 0.447 states/eV/atom.

=====

#d
Material: GePIrN2
Method: DFT, PBE
State: optimized geometry

The space group is Cm (No. 8) and the conventional cell measures 9.970, 2.744 and 6.108 Å, with angles of 90.00, 127.02 and 90.00 degrees. The asymmetric unit holds Ge at (0.000, 0.000, 0.000), P at (0.427, 0.000, 0.369), Ir at (0.282, 0.000, 0.554), N at (0.140, 0.500, 0.576) and N at (0.373, 0.500, 0.168).

The density of states at the Fermi level comes out at 0.131 states/eV/atom.

=====

Relative energies in meV/atom: #a 308; #b 155; #c 162; #d 0

=====

#a
Material: GeIrS2N
Method: DFT, PBE
State: optimized geometry

The space group is P4/mmm (No. 123) and the conventional cell measures 4.901, 4.901 and 3.666 Å, with angles of 90.00, 90.00 and 90.00 degrees. The asymmetric unit holds Ge at (0.000, 0.000, 0.000), Ir at (0.500, 0.500, 0.500), S at (0.000, 0.500, 0.500) and N at (0.500, 0.500, 0.000).

The density of states at the Fermi level comes out at 0.466 states/eV/atom.

=====

#b
Material: GeIrS2N
Method: DFT, PBE
State: optimized geometry

The space group is P4/mmm (No. 123) and the conventional cell measures 4.807, 4.807 and 3.411 Å, with angles of 90.00, 90.00 and 90.00 degrees. The asymmetric unit holds Ge at (0.000, 0.000, 0.000), Ir at (0.500, 0.500, 0.500), S at (0.000, 0.500, 0.000) and N at (0.000, 0.000, 0.500).

The density of states at the Fermi level comes out at 1.271 states/eV/atom.

=====

Relative energies in meV/atom: #a 0; #b 848

=====

#a
Material: GeTe2IrN
Method: DFT, PBE
State: optimized geometry

The space group is P4/mmm (No. 123) and the conventional cell measures 5.555, 5.555 and 3.664 Å, with angles of 90.00, 90.00 and 90.00 degrees. The asymmetric unit holds Ge at (0.000, 0.000, 0.000), Te at (0.000, 0.500, 0.500), Ir at (0.500, 0.500, 0.500) and N at (0.500, 0.500, 0.000).

The density of states at the Fermi level comes out at 0.803 states/eV/atom.

=====

#b
Material: GeTe2IrN
Method: DFT, PBE
State: optimized geometry

The space group is P4/mmm (No. 123) and the conventional cell measures 5.426, 5.426 and 3.433 Å, with angles of 90.00, 90.00 and 90.00 degrees. The asymmetric unit holds Ge at (0.000, 0.000, 0.000), Te at (0.000, 0.500, 0.000), Ir at (0.500, 0.500, 0.500) and N at (0.000, 0.000, 0.500).

The density of states at the Fermi level comes out at 0.708 states/eV/atom.

=====

Relative energies in meV/atom: #a 0; #b 699

=====

#a
Material: Na2Ge2Ir
Method: DFT, PBE
State: optimized geometry

The space group is P4/mbm (No. 127) and the conventional cell measures 6.413, 6.413 and 5.006 Å, with angles of 90.00, 90.00 and 90.00 degrees. The asymmetric unit holds Na at (0.182, 0.318, 0.000), Ge at (0.144, 0.644, 0.500) and Ir at (0.000, 0.000, 0.500).

The density of states at the Fermi level comes out at 0.846 states/eV/atom.

=====

#b
Material: Na2Ge2Ir
Method: DFT, PBE
State: optimized geometry

The space group is Cmcm (No. 63) and the conventional cell measures 5.455, 14.160 and 5.687 Å, with angles of 90.00, 90.00 and 90.00 degrees. The asymmetric unit holds Na at (0.000, 0.082, 0.250), Na at (0.000, 0.305, 0.750), Ge at (0.249, 0.389, 0.250) and Ir at (0.000, 0.500, 0.000).

The density of states at the Fermi level comes out at 0.580 states/eV/atom.

=====

Relative energies in meV/atom: #a 0; #b 70